A relaxed Tb2Pd crystal, computed with GGA-PBE.

Unit cell a=6.0079 b=6.0079 c=6.0079 alpha=60.00 beta=60.00 gamma=60.00
Closest atoms and distances in Å follow each position.
Atoms (fractional coordinates):
Tb1 0.0000 0.0000 0.0000  6 Tb 3.00
Tb2 0.0000 0.0000 0.5000  6 Tb 3.00
Tb3 0.0000 0.5000 0.0000  6 Tb 3.00
Tb4 0.5000 0.0000 0.0000  6 Tb 3.00
Pd1 0.3750 0.3750 0.3750  12 Tb 3.52, 4 Pd 3.68
Pd2 0.6250 0.6250 0.6250  12 Tb 3.52, 4 Pd 3.68

Output
symmetry: No. 227
V: 153 Å³/cell

---

A relaxed Tb2Pd crystal, computed with GGA-PBE.

Unit cell a=7.6271 b=7.6271 c=4.4706 alpha=90.00 beta=90.00 gamma=120.00
Closest atoms and distances in Å follow each position.
Atoms (fractional coordinates):
Tb1 0.0000 0.4085 0.0000  5 Pd 3.12-3.21, 2 Tb 3.38
Tb2 0.0000 0.7401 0.5000  4 Pd 2.86-2.99
Tb3 0.2599 0.2599 0.5000  4 Pd 2.86-2.99
Tb4 0.4085 0.0000 0.0000  5 Pd 3.12-3.21, 2 Tb 3.38
Tb5 0.5915 0.5915 0.0000  5 Pd 3.12-3.21, 2 Tb 3.38
Tb6 0.7401 0.0000 0.5000  4 Pd 2.86-2.99
Pd1 0.0000 0.0000 0.0000  9 Tb 2.99-3.12
Pd2 0.3333 0.6667 0.5000  3 Tb 2.86
Pd3 0.6667 0.3333 0.5000  3 Tb 2.86

Output
symmetry: No. 189
V: 225 Å³/cell

---

Number 1: energy of formation 0.402 eV/atom. Number 2: energy of formation -0.539 eV/atom.